The following is a PBE with a Hubbard U calculation of an optimized crystal structure of CaWNO2, from Alexandria via LeMat-Bulk.

Results
Its crystal system is tetragonal. The spin magnetization comes out at 0.499 μB per formula unit. The value obtained for the total DFT energy (no corrections) is -7.156 eV/atom.

Geometry as CIF:
```
data_CaWNO2
_symmetry_space_group_name_H-M 'P 4/m m m'
_symmetry_Int_Tables_number 123
_symmetry_space_group_name_Hall '-P 4 2'
_cell_length_a 3.979
_cell_length_b 3.979
_cell_length_c 4.029
_cell_angle_alpha 90.00
_cell_angle_beta 90.00
_cell_angle_gamma 90.00
loop_
_atom_site_label
_atom_site_fract_x
_atom_site_fract_y
_atom_site_fract_z
Ca1 0.000 0.000 0.000
W1 0.500 0.500 0.500
N1 0.500 0.500 0.000
O1 0.000 0.500 0.500
```